Record 1
VASP calculation (GGA-PBEsol) on crystalline SnBMo3 at its relaxed geometry.

Lattice parameters (Å, degrees): 4.2192 4.2192 4.2192 90.00 90.00 90.00
With the nearest neighbours (Å) after each atom.
Element x y z (fractional)
Mo 0.5000 0.0000 0.0000  2 B 2.11
Mo 0.0000 0.0000 0.5000  2 B 2.11
Mo 0.0000 0.5000 0.0000  2 B 2.11
B 0.0000 0.0000 0.0000  6 Mo 2.11
Sn 0.5000 0.5000 0.5000  12 Mo 2.98

Output
Formation enthalpy at 0 K ... 0.180 eV/atom
VASP energy ... -45.68 eV/cell

=====

Record 2
VASP calculation (GGA-PBEsol) on crystalline OsAu3O at its relaxed geometry.

Lattice parameters (Å, degrees): 4.2698 4.2698 4.2698 90.00 90.00 90.00
With the nearest neighbours (Å) after each atom.
Element x y z (fractional)
O 0.0000 0.0000 0.0000  6 Au 2.13
Au 0.0000 0.0000 0.5000  2 O 2.13
Au 0.0000 0.5000 0.0000  2 O 2.13
Au 0.5000 0.0000 0.0000  2 O 2.13
Os 0.5000 0.5000 0.5000  12 Au 3.02

Output
VASP energy ... -23.34 eV/cell
Energy relative to the elements, uncorrected ... 5.90 eV/f.u.

=====

Record 3
VASP calculation (GGA-PBEsol) on crystalline NiPtBr2 at its relaxed geometry.

Lattice parameters (Å, degrees): 4.5771 4.5771 4.5771 60.00 60.00 60.00
With the nearest neighbours (Å) after each atom.
Element x y z (fractional)
Pt 0.5000 0.5000 0.5000  8 Br 2.80
Br 0.7500 0.7500 0.7500  4 Pt 2.80, 4 Ni 2.80
Br 0.2500 0.2500 0.2500  4 Ni 2.80, 4 Pt 2.80
Ni 0.0000 0.0000 0.0000  8 Br 2.80

Output
Relative energy among the computed polymorphs ... 22.6 kJ per mole of atoms
VASP energy ... -13.98 eV/cell
Energy relative to the elements, uncorrected ... 2.88 eV/f.u.

=====

Record 4
VASP calculation (GGA-PBEsol) on crystalline LaSc3Pd at its relaxed geometry.

Lattice parameters (Å, degrees): 4.9979 4.9979 4.9979 90.00 90.00 90.00
With the nearest neighbours (Å) after each atom.
Element x y z (fractional)
La 0.0000 0.0000 0.0000  6 Sc 2.50
Sc 0.0000 0.5000 0.0000  2 La 2.50
Sc 0.5000 0.0000 0.0000  2 La 2.50
Sc 0.0000 0.0000 0.5000  2 La 2.50
Pd 0.5000 0.5000 0.5000  12 Sc 3.53

Output
Relative energy among the computed polymorphs ... 110.3 kJ per mole of atoms
Formation enthalpy at 0 K ... 0.972 eV/atom
VASP energy ... -26.26 eV/cell

=====

Record 5
VASP calculation (GGA-PBEsol) on crystalline AgAsPbSe2 at its relaxed geometry.

Lattice parameters (Å, degrees): 4.8460 5.0856 5.0856 90.00 90.00 90.00
With the nearest neighbours (Å) after each atom.
Element x y z (fractional)
Se 0.0000 0.0000 0.5000  2 Ag 2.54
Se 0.0000 0.5000 0.0000  2 Ag 2.54
Pb 0.5000 0.5000 0.5000  8 Se 3.51, 4 As 3.60
As 0.5000 0.0000 0.0000  2 Ag 2.42
Ag 0.0000 0.0000 0.0000  2 As 2.42, 4 Se 2.54

Output
Relative energy among the computed polymorphs ... 0.0 kJ per mole of atoms
VASP energy ... -18.22 eV/cell
Energy relative to the elements, uncorrected ... 1.90 eV/f.u.

=====

Record 6
VASP calculation (GGA-PBEsol) on crystalline Re2AsPt at its relaxed geometry.

Lattice parameters (Å, degrees): 2.7961 4.7916 4.8909 106.89 90.00 106.96
With the nearest neighbours (Å) after each atom.
Element x y z (fractional)
Re 0.2708 0.5415 0.2441  2 As 2.52, 4 Re 2.69-2.80, 3 Pt 2.71-2.78
Re 0.7292 0.4585 0.7559  2 As 2.52, 4 Re 2.69-2.80, 3 Pt 2.71-2.78
As 0.0000 0.0000 0.5000  4 Re 2.52, 2 As 2.80, 4 Pt 2.82
Pt 0.5000 0.0000 0.0000  6 Re 2.71-2.78, 2 Pt 2.80, 4 As 2.82

Output
Formation enthalpy at 0 K ... 0.278 eV/atom
VASP energy ... -37.62 eV/cell

=====

Record 7
VASP calculation (GGA-PBEsol) on crystalline BeTlCu at its relaxed geometry.

Lattice parameters (Å, degrees): 4.1323 4.1323 4.1323 60.00 60.00 60.00
With the nearest neighbours (Å) after each atom.
Element x y z (fractional)
Tl 0.0000 0.0000 0.0000  4 Cu 2.53
Cu 0.2500 0.2500 0.2500  4 Tl 2.53, 4 Be 2.53
Be 0.5000 0.5000 0.5000  4 Cu 2.53

Output
Formation enthalpy at 0 K ... 0.488 eV/atom
VASP energy ... -9.50 eV/cell

=====

Record 8
VASP calculation (GGA-PBEsol) on crystalline BeF2 at its relaxed geometry.

Lattice parameters (Å, degrees): 4.8805 4.8805 5.3482 90.00 90.00 120.00
With the nearest neighbours (Å) after each atom.
Element x y z (fractional)
F 0.2092 0.4184 0.1667  2 Be 1.55
F 0.4184 0.2092 0.8333  2 Be 1.55
F 0.7908 0.5816 0.1667  2 Be 1.55
F 0.7908 0.2092 0.5000  2 Be 1.55
F 0.2092 0.7908 0.5000  2 Be 1.55
F 0.5816 0.7908 0.8333  2 Be 1.55
Be 0.5000 0.5000 0.0000  4 F 1.55
Be 0.0000 0.5000 0.3333  4 F 1.55
Be 0.5000 0.0000 0.6667  4 F 1.55

Output
Relative energy among the computed polymorphs ... 0.2 kJ per mole of atoms
VASP energy ... -52.87 eV/cell
Energy relative to the elements, uncorrected ... -9.77 eV/f.u.

=====

Record 9
VASP calculation (GGA-PBEsol) on crystalline LaIn2Ir at its relaxed geometry.

Lattice parameters (Å, degrees): 4.3808 5.5289 8.1141 90.00 90.00 113.34
With the nearest neighbours (Å) after each atom.
Element x y z (fractional)
In 0.6471 0.2943 0.9496  3 Ir 2.81, 3 In 3.10-3.14
In 0.6471 0.2943 0.5504  3 Ir 2.81, 3 In 3.10-3.14
In 0.3529 0.7057 0.4496  3 Ir 2.81, 3 In 3.10-3.14
In 0.3529 0.7057 0.0504  3 Ir 2.81, 3 In 3.10-3.14
La 0.9339 0.8678 0.7500  3 Ir 2.86-3.12
La 0.0661 0.1322 0.2500  3 Ir 2.86-3.12
Ir 0.2154 0.4309 0.7500  6 In 2.81, 3 La 2.86-3.12
Ir 0.7846 0.5691 0.2500  6 In 2.81, 3 La 2.86-3.12

Output
Formation enthalpy at 0 K ... -0.595 eV/atom
VASP energy ... -47.03 eV/cell

=====

Record 10
VASP calculation (GGA-PBEsol) on crystalline TlCl5 at its relaxed geometry.

Lattice parameters (Å, degrees): 3.8811 6.0202 6.3292 90.00 90.00 108.80
With the nearest neighbours (Å) after each atom.
Element x y z (fractional)
Cl 0.8434 0.6867 0.0000  2 Tl 2.64, 2 Cl 2.88
Cl 0.1566 0.3133 0.0000  2 Tl 2.64, 2 Cl 2.88
Cl 0.6676 0.3352 0.5000  4 Cl 2.70-2.72
Cl 0.3324 0.6648 0.5000  4 Cl 2.70-2.72
Cl 0.0000 0.0000 0.5000  4 Cl 2.72
Tl 0.5000 0.0000 0.0000  4 Cl 2.64

Output
Relative energy among the computed polymorphs ... 11.7 kJ per mole of atoms
VASP energy ... -13.25 eV/cell
Energy relative to the elements, uncorrected ... -0.58 eV/f.u.

=====

Record 11
VASP calculation (GGA-PBEsol) on crystalline La2ZnAu at its relaxed geometry.

Lattice parameters (Å, degrees): 3.8064 4.8070 6.1463 113.02 108.04 90.00
With the nearest neighbours (Å) after each atom.
Element x y z (fractional)
Zn 0.5401 0.5401 0.0802  2 Au 2.67
Au 0.2159 0.7159 0.4318  2 Zn 2.67
La 0.7695 0.2695 0.5391  4 Au 3.12, 2 La 3.25, 4 Zn 3.43-3.45
La 0.9745 0.9745 0.9489  4 Zn 3.14, 2 La 3.25, 4 Au 3.35-3.52

Output
Formation enthalpy at 0 K ... -0.463 eV/atom
VASP energy ... -18.05 eV/cell

=====

Record 12
VASP calculation (GGA-PBEsol) on crystalline ZrAg4 at its relaxed geometry.

Lattice parameters (Å, degrees): 2.9294 4.0996 7.6924 105.45 100.98 90.00
With the nearest neighbours (Å) after each atom.
Element x y z (fractional)
Ag 0.8962 0.8962 0.7925  8 Ag 2.84-3.02, 4 Zr 2.94
Ag 0.7009 0.7009 0.4018  11 Ag 2.84-2.93, 1 Zr 2.92
Ag 0.2991 0.2991 0.5982  11 Ag 2.84-2.93, 1 Zr 2.92
Ag 0.1038 0.1038 0.2075  8 Ag 2.84-3.02, 4 Zr 2.94
Zr 0.5000 0.5000 0.0000  10 Ag 2.92-2.94, 2 Zr 2.93

Output
Formation enthalpy at 0 K ... -0.049 eV/atom
VASP energy ... -22.58 eV/cell